(1)
DFT (PBE) results for an optimized crystal structure of ScPbAu2.

Geometry as POSCAR:
```
ScPbAu2
1.0
3.557 0.000 0.000
0.000 3.544 0.015
0.000 3.523 6.922
Au Pb Sc
2 1 1
Cartesian
0.000 3.522 6.664 Au
0.000 3.535 3.728 Au
1.779 1.767 1.734 Pb
1.779 5.301 5.203 Sc
```

***

(2)
DFT (PBE) results for an optimized crystal structure of ScPbAu.

Geometry as POSCAR:
```
ScPbAu
1.0
6.372 0.009 -0.010
5.434 3.327 -0.017
0.938 0.271 3.307
Au Pb Sc
1 1 1
Cartesian
1.165 0.335 3.237 Au
4.616 1.309 2.179 Pb
7.902 2.235 1.170 Sc
```

***

(3)
DFT (PBE) results for an optimized crystal structure of Sc2PbAu.

Geometry as POSCAR:
```
Sc2PbAu
1.0
-3.449 -0.552 3.614
-0.083 -4.189 2.776
1.376 0.159 4.832
Au Pb Sc
1 1 2
Cartesian
-1.078 -2.291 5.611 Au
-1.617 -3.437 8.416 Pb
0.000 0.000 0.000 Sc
-0.539 -1.146 2.805 Sc
```

***

(4)
DFT (PBE) results for an optimized crystal structure of ScPbAu.

Geometry as POSCAR:
```
ScPbAu
1.0
-3.675 2.636 2.338
0.909 -3.255 3.251
3.585 5.163 0.766
Sc Pb Au
2 2 2
Cartesian
-1.346 2.255 3.012 Sc
2.176 4.422 1.485 Sc
0.677 -0.935 3.307 Pb
1.061 4.356 4.440 Pb
1.535 1.843 2.463 Au
0.204 1.579 5.283 Au
```

***

(5)
DFT (PBE) results for an optimized crystal structure of Sc2PbAu.

Geometry as POSCAR:
```
Sc2PbAu
1.0
4.659 -0.023 0.008
3.355 3.232 0.008
1.322 0.530 6.319
Au Pb Sc
1 1 2
Cartesian
2.334 0.935 1.584 Au
7.002 2.804 4.752 Pb
7.988 3.199 0.221 Sc
4.694 1.880 2.964 Sc
```

***

(6)
ScPb3Au, optimized geometry, DFT PBE; E above lowest polymorph = 107 meV/atom
1.0
-5.594 0.248 0.132
-0.278 -5.270 -1.875
0.041 -1.880 5.276
Pb Sc Au
3 1 1
Cartesian
-0.139 -2.635 -0.938 Pb
0.020 -0.940 2.638 Pb
-2.797 0.124 0.066 Pb
0.000 0.000 0.000 Sc
-2.915 -3.451 1.766 Au

***

(7)
DFT (PBE) results for an optimized crystal structure of ScPbAu.

Geometry as POSCAR:
```
ScPbAu
1.0
-3.973 -4.931 -1.095
0.881 -0.597 4.968
-2.417 4.266 0.939
Sc Pb Au
2 2 2
Cartesian
-1.760 1.870 3.114 Sc
-2.635 -1.200 1.547 Sc
-2.975 -4.264 1.313 Pb
-3.743 -2.430 4.266 Pb
-1.119 -0.852 3.853 Au
-3.276 1.521 0.808 Au
```

***

(8)
DFT (PBE) results for an optimized crystal structure of ScPbAu.

Geometry as POSCAR:
```
ScPbAu
1.0
7.552 0.014 -0.017
0.004 3.556 0.000
1.110 -3.529 5.137
Sc Pb Au
2 2 2
Cartesian
7.145 1.108 0.828 Sc
2.441 1.109 2.892 Sc
5.368 -2.433 4.386 Pb
4.770 -0.669 1.825 Pb
7.892 -0.652 3.291 Au
1.680 2.868 0.351 Au
```

***

(9)
DFT (PBE) results for an optimized crystal structure of ScPbAu.

Geometry as POSCAR:
```
ScPbAu
1.0
7.022 -0.007 0.033
-0.936 3.507 -0.017
-0.485 1.734 5.799
Sc Pb Au
2 2 2
Cartesian
5.962 2.166 1.185 Sc
0.487 4.453 3.520 Sc
3.346 3.327 4.638 Pb
2.923 3.241 1.576 Pb
6.066 2.183 4.012 Au
1.291 0.918 0.514 Au
```

***

(10)
DFT (PBE) results for an optimized crystal structure of ScPbAu2.

Geometry as POSCAR:
```
ScPbAu2
1.0
8.606 0.024 0.014
7.835 3.559 0.014
7.835 1.708 3.123
Au Pb Sc
2 1 1
Cartesian
0.241 0.053 0.031 Au
11.897 2.593 1.544 Au
6.069 1.323 0.788 Pb
18.207 3.968 2.363 Sc
```

***

(11)
ScPb2Au, optimized geometry, DFT PBE; E above lowest polymorph = 213 meV/atom
1.0
4.635 0.000 0.000
0.000 3.451 -0.017
0.000 0.812 6.230
Au Pb Sc
1 2 1
Cartesian
2.317 3.197 4.660 Au
0.000 3.155 -0.005 Pb
0.000 2.427 3.095 Pb
2.317 1.066 1.553 Sc

***

(12)
DFT (PBE) results for an optimized crystal structure of Sc2PbAu.

Geometry as POSCAR:
```
Sc2PbAu
1.0
8.827 -0.028 -0.017
8.111 3.481 -0.017
8.111 1.654 3.064
Au Pb Sc
1 1 2
Cartesian
6.262 1.277 0.758 Au
18.787 3.830 2.273 Pb
24.805 5.057 3.001 Sc
12.769 2.603 1.545 Sc
```

***

(13)
DFT (PBE) results for an optimized crystal structure of ScPbAu.

Geometry as POSCAR:
```
ScPbAu
1.0
6.719 0.000 0.000
0.000 4.756 0.000
0.000 0.000 8.504
Pb Sc Au
4 4 4
Cartesian
1.853 1.189 3.614 Pb
1.506 3.567 7.866 Pb
4.866 3.567 4.890 Pb
5.213 1.189 0.638 Pb
6.632 1.189 6.328 Sc
3.446 3.567 2.076 Sc
0.087 3.567 2.176 Sc
3.273 1.189 6.428 Sc
5.503 1.189 3.458 Au
4.576 3.567 7.710 Au
1.216 3.567 5.046 Au
2.144 1.189 0.794 Au
```

***

(14)
ScPb2Au, optimized geometry, DFT PBE; E above lowest polymorph = 115 meV/atom
1.0
-8.263 3.859 2.489
-8.274 0.828 4.497
-6.533 3.791 5.686
Au Pb Sc
1 2 1
Cartesian
-17.489 6.427 9.606 Au
-0.209 0.077 0.115 Pb
-5.634 2.071 3.095 Pb
-11.274 4.143 6.192 Sc

***

(15)
ScPb2Au, optimized geometry, DFT PBE; E above lowest polymorph = 215 meV/atom
1.0
5.227 0.000 0.000
2.613 4.526 0.000
2.613 1.509 4.267
Au Pb Sc
1 2 1
Cartesian
5.227 3.018 2.134 Au
0.000 0.000 0.000 Pb
2.613 1.509 1.067 Pb
7.840 4.526 3.201 Sc

***

(16)
Sc2Pb2Au, optimized geometry, DFT PBE; E above lowest polymorph = 0 meV/atom
1.0
-5.848 -2.004 -4.017
-3.324 -2.502 6.087
-1.881 4.138 0.674
Pb Sc Au
4 4 2
Cartesian
-4.010 0.126 3.698 Pb
-7.576 -1.359 2.864 Pb
-7.042 -0.495 -0.955 Pb
-3.477 0.990 -0.120 Pb
-4.792 -2.789 3.750 Sc
-7.109 -3.334 0.630 Sc
-4.380 -1.717 -1.680 Sc
-2.063 -1.172 1.440 Sc
0.000 0.000 0.000 Au
-4.586 -2.253 1.035 Au

***

(17)
DFT (PBE) results for an optimized crystal structure of ScPbAu.

Geometry as POSCAR:
```
ScPbAu
1.0
4.531 0.000 0.000
0.000 3.893 0.001
0.000 0.095 7.856
Sc Pb Au
2 2 2
Cartesian
0.810 3.068 1.380 Sc
3.076 3.194 4.554 Sc
3.075 1.096 1.972 Pb
0.809 1.084 6.627 Pb
0.810 1.427 3.806 Au
3.075 2.990 7.346 Au
```

***

(18)
DFT (PBE) results for an optimized crystal structure of ScPbAu2.

Geometry as POSCAR:
```
ScPbAu2
1.0
-0.155 0.404 -4.533
-3.986 -2.199 0.094
-1.963 3.575 0.386
Au Pb Sc
2 1 1
Cartesian
0.000 0.000 0.000 Au
-2.071 -0.898 -2.219 Au
-1.059 1.989 -2.073 Pb
-2.974 0.688 0.240 Sc
```

***

(19)
ScPbAu3, optimized geometry, DFT PBE; E above lowest polymorph = 0 meV/atom
1.0
5.151 0.000 0.000
0.000 5.151 0.000
0.000 0.000 5.151
Pb Sc Au
1 1 3
Cartesian
2.576 2.576 2.576 Pb
0.000 0.000 0.000 Sc
0.000 2.576 0.000 Au
0.000 0.000 2.576 Au
2.576 0.000 0.000 Au

***

(20)
ScPb2Au, optimized geometry, DFT PBE; E above lowest polymorph = 256 meV/atom
1.0
-5.145 2.794 -5.663
5.212 -2.244 -5.843
-1.332 -2.528 -5.895
Pb Sc Au
4 2 2
Cartesian
-3.032 0.907 -5.892 Pb
2.416 -1.759 -5.685 Pb
-1.111 -1.631 -8.582 Pb
-0.804 -1.474 -14.641 Pb
0.034 0.275 -5.753 Sc
1.957 -2.249 -8.745 Sc
0.000 0.000 0.000 Au
-3.222 0.270 -8.655 Au

***

(21)
ScPb3Au, optimized geometry, DFT PBE; E above lowest polymorph = 0 meV/atom
1.0
5.520 0.000 0.000
0.000 5.520 0.000
0.000 0.000 5.520
Pb Sc Au
3 1 1
Cartesian
0.000 2.760 0.000 Pb
0.000 0.000 2.760 Pb
2.760 0.000 0.000 Pb
2.760 2.760 2.760 Sc
0.000 0.000 0.000 Au

***

(22)
DFT (PBE) results for an optimized crystal structure of Sc6PbAu5.

Geometry as POSCAR:
```
Sc6PbAu5
1.0
4.649 0.020 -1.355
-0.956 6.122 -3.188
-0.068 0.402 8.408
Sc Pb Au
6 1 5
Cartesian
3.261 3.773 2.581 Sc
3.724 0.810 4.124 Sc
1.554 4.913 5.387 Sc
2.072 1.632 -1.522 Sc
-0.098 5.735 -0.259 Sc
0.364 2.772 1.284 Sc
0.000 0.000 0.000 Pb
2.908 1.144 1.324 Au
1.187 2.317 4.095 Au
-0.478 3.061 -1.594 Au
2.438 4.227 -0.230 Au
0.717 5.401 2.540 Au
```

***

(23)
ScPb2Au, optimized geometry, DFT PBE; E above lowest polymorph = 93 meV/atom
1.0
-3.006 2.957 4.060
-4.547 -2.809 2.388
5.636 -1.210 -1.020
Au Pb Sc
1 2 1
Cartesian
-0.573 0.911 3.132 Au
0.000 0.000 0.000 Pb
-1.344 -1.973 2.296 Pb
-3.777 0.074 3.224 Sc

***

(24)
DFT (PBE) results for an optimized crystal structure of Sc2PbAu.

Geometry as POSCAR:
```
Sc2PbAu
1.0
4.517 0.000 0.000
0.000 4.517 0.000
2.259 2.259 9.846
Pb Sc Au
2 4 2
Cartesian
0.000 0.000 0.000 Pb
4.517 2.259 4.923 Pb
3.371 1.129 2.461 Sc
1.146 3.388 2.461 Sc
3.388 3.405 7.384 Sc
5.647 5.630 7.384 Sc
2.259 2.259 0.000 Au
2.259 4.517 4.923 Au
```

***

(25)
DFT (PBE) results for an optimized crystal structure of Sc4PbAu5.

Geometry as POSCAR:
```
Sc4PbAu5
1.0
3.449 0.000 0.000
0.000 3.449 0.000
0.000 0.000 17.287
Sc Pb Au
4 1 5
Cartesian
0.000 0.000 3.591 Sc
0.000 0.000 6.964 Sc
0.000 0.000 10.323 Sc
0.000 0.000 13.696 Sc
0.000 0.000 0.000 Pb
1.724 1.724 2.123 Au
1.724 1.724 5.312 Au
1.724 1.724 8.644 Au
1.724 1.724 11.975 Au
1.724 1.724 15.164 Au
```

***

(26)
DFT (PBE) results for an optimized crystal structure of Sc2PbAu.

Geometry as POSCAR:
```
Sc2PbAu
1.0
1.853 0.000 10.787
-0.927 1.605 10.787
-0.927 -1.605 10.787
Pb Sc Au
1 2 1
Cartesian
0.000 0.000 16.181 Pb
0.000 0.000 29.621 Sc
0.000 0.000 2.740 Sc
0.000 0.000 0.000 Au
```

***

(27)
ScPb2Au, optimized geometry, DFT PBE; E above lowest polymorph = 220 meV/atom
1.0
-1.495 3.079 1.606
-3.014 -2.223 -0.521
1.001 -2.862 6.418
Au Pb Sc
1 2 1
Cartesian
-1.504 -1.718 5.357 Au
0.990 -2.829 6.346 Pb
0.512 -1.463 3.282 Pb
-2.004 -0.287 2.147 Sc

***

(28)
ScPb2Au, optimized geometry, DFT PBE; E above lowest polymorph = 241 meV/atom
1.0
3.575 0.000 0.000
0.000 4.281 0.000
0.000 0.000 6.430
Au Pb Sc
1 2 1
Cartesian
1.788 2.140 4.822 Au
0.000 0.000 6.411 Pb
0.000 0.000 3.233 Pb
1.788 2.140 1.607 Sc

***

no.,E_form (eV/f.u.),uncorrected energy (eV/atom)
1,-2.05,-4.662
2,-1.32,-4.879
3,-0.42,-5.017
4,-1.24,-4.854
5,-1.71,-5.341
6,2.53,-3.642
7,-1.24,-4.851
8,-1.26,-4.859
9,-1.19,-4.835
10,-1.53,-4.532
11,-0.48,-4.376
12,-1.71,-5.339
13,-1.11,-4.809
14,-0.87,-4.475
15,-0.47,-4.374
16,-1.57,-4.986
17,-1.21,-4.843
18,-1.58,-4.544
19,1.10,-3.755
20,-0.30,-4.333
21,1.99,-3.749
22,-8.63,-5.559
23,-0.96,-4.496
24,-0.14,-4.948
25,-7.00,-5.242
26,0.25,-4.850
27,-0.45,-4.369
28,-0.37,-4.348